! PBE with a Hubbard U PmNpCr2O6, relaxed; values from VASP
&SYSTEM
  ibrav = 0, nat = 10, ntyp = 4
/
ATOMIC_SPECIES
O 16.00 O.upf
Np 237.00 Np.upf
Cr 52.00 Cr.upf
Pm 145.00 Pm.upf
ATOMIC_POSITIONS crystal
O 0.8882 0.6453 0.2320
Np 0.3068 0.3122 0.0700
O 0.7326 0.1590 0.7455
Cr 0.0119 0.0106 0.9635
O 0.2330 0.8877 0.2334
Cr 0.5258 0.5163 0.4323
O 0.3497 0.7454 0.7656
O 0.6584 0.2198 0.2204
Pm 0.7952 0.8016 0.6117
O 0.1599 0.3639 0.7408
CELL_PARAMETERS angstrom
5.5071 0.0129 0.0155
2.7602 4.9233 0.1244
2.7697 1.7725 4.8895
! * electronic total energy: -8.74 eV/atom